No. 1
A plane-wave DFT calculation with PBE-GGA was carried out for a relaxed structure of Hf2ReNiH. Values from VASP.

For the density, the calculation gives 14.4 Mg/m³. As for the space group: No. 123. The calculation puts the energy relative to the lowest polymorph listed for this composition at 0.0000 eV/atom. Its volume is 69.5 Å³ per cell.

Quantum ESPRESSO input file:
```
&SYSTEM
  ibrav = 0, nat = 5, ntyp = 4
/
ATOMIC_SPECIES
Hf 178.49 Hf.upf
Re 186.21 Re.upf
Ni 58.69 Ni.upf
H 1.01 H.upf
CELL_PARAMETERS angstrom
4.547 0.000 0.000
0.000 4.547 0.000
0.000 0.000 3.363
ATOMIC_POSITIONS crystal
Hf 0.000 0.500 0.000
Hf 0.500 0.000 0.000
Re 0.000 0.000 0.500
Ni 0.500 0.500 0.500
H 0.500 0.500 0.000
```

***

No. 2
A plane-wave DFT calculation with PBE-GGA was carried out for a relaxed structure of SmEr2ThBi4. Values from VASP.

For the density, the calculation gives 9.9 Mg/m³. As for the space group: No. 10. Its formation energy from the elements is -788 meV per atom. Its volume is 259.9 Å³ per cell.

Quantum ESPRESSO input file:
```
&SYSTEM
  ibrav = 0, nat = 8, ntyp = 4
/
ATOMIC_SPECIES
Sm 150.36 Sm.upf
Er 167.26 Er.upf
Th 232.04 Th.upf
Bi 208.98 Bi.upf
CELL_PARAMETERS angstrom
7.797 0.000 0.000
0.000 4.523 0.000
-2.611 0.000 7.372
ATOMIC_POSITIONS crystal
Sm 0.000 0.000 0.000
Er 0.500 0.000 0.500
Er 0.500 0.500 0.000
Th 0.000 0.500 0.500
Bi 0.259 0.500 0.252
Bi 0.260 0.000 0.755
Bi 0.740 0.000 0.245
Bi 0.741 0.500 0.748
```